Entry 1:
## NaScRe2C (PBE-GGA)

Data for a geometry-optimized NaScRe2C structure.

a = 4.096 Å, b = 4.096 Å, c = 4.624 Å
α = 90.00°, β = 90.00°, γ = 90.00°
Fractional positions:
Na 0.000 0.000 0.000
Sc 0.500 0.500 0.000
Re 0.000 0.500 0.500
Re 0.500 0.000 0.500
C 0.000 0.000 0.500

Calculated values
**Space-group type**: P4/mmm, No. 123

=====

Entry 2:
## Na2ReTcC (PBE-GGA)

Data for a geometry-optimized Na2ReTcC structure.

a = 5.672 Å, b = 5.672 Å, c = 3.755 Å
α = 90.00°, β = 90.00°, γ = 90.00°
Fractional positions:
Na 0.000 0.500 0.000
Na 0.500 0.000 0.000
Re 0.000 0.000 0.500
Tc 0.500 0.500 0.000
C 0.500 0.500 0.500

Calculated values
**Space-group type**: P4/mmm, No. 123

=====

Number 1: formation energy from the elements 0.36 eV/atom. Number 2: formation energy from the elements 2.16 eV/atom.